(1)
## ZrCo (PBE-GGA)

Data for an optimized crystal structure of ZrCo.

It has space group Pm-3m (No. 221), with a = 3.198 Å, b = 3.198 Å, c = 3.198 Å, α = 90.00°, β = 90.00° and γ = 90.00°. The inequivalent atoms are Zr at (0.000, 0.000, 0.000) and Co at (0.500, 0.500, 0.500).

The calculation puts the calculated formation energy at -279 meV/atom.


(2)
## ZrCo (PBE-GGA)

Data for an optimized crystal structure of ZrCo.

It has space group Pmc2_1 (No. 26), with a = 4.061 Å, b = 9.412 Å, c = 5.185 Å, α = 90.00°, β = 90.00° and γ = 90.00°. The inequivalent atoms are Zr at (0.000, 0.096, 0.000), Zr at (0.000, 0.403, 0.222), Zr at (0.500, 0.162, 0.478), Co at (0.000, 0.304, 0.696), Co at (0.500, 0.286, 0.952) and Co at (0.500, 0.442, 0.557).

The calculation puts the calculated formation energy at -134 meV/atom.


(3)
## ZrCo (PBE-GGA)

Data for an optimized crystal structure of ZrCo.

It has space group Cm (No. 8), with a = 6.678 Å, b = 8.163 Å, c = 5.098 Å, α = 90.00°, β = 109.04° and γ = 90.00°. The inequivalent atoms are Zr at (0.000, 0.000, 0.000), Zr at (0.005, 0.500, 0.996), Zr at (0.361, 0.243, 0.432), Co at (0.126, 0.000, 0.549), Co at (0.154, 0.500, 0.547) and Co at (0.223, 0.248, 0.878).

The calculation puts the calculated formation energy at -324 meV/atom.


Table of magnetic moment (μB per formula unit), in record order: 0.8, 0.0, 0.0